1.
A plane-wave DFT calculation with GGA-PBE was carried out for an optimized crystal structure of Re6H12Pb3C2S2N4O26.

Summary:
Space-group type: P-42_1m, No. 113

Geometry as POSCAR:
```
Re6H12Pb3C2S2N4O26
1.0
-2.377 -15.505 -3.265
15.100 -3.217 4.285
-1.716 -0.872 5.392
O Re H N Pb C S
52 12 24 8 6 4 4
direct
0.354 0.505 0.188
0.854 0.995 0.812
0.138 0.186 0.477
0.986 0.278 0.523
0.862 0.814 0.477
0.434 0.934 0.247
0.432 0.932 0.739
0.995 0.146 0.188
0.391 0.507 0.676
0.007 0.891 0.676
0.486 0.222 0.477
0.595 0.219 0.998
0.314 0.362 0.477
0.219 0.405 0.002
0.934 0.566 0.753
0.638 0.314 0.523
0.281 0.905 0.998
0.362 0.686 0.523
0.405 0.781 0.998
0.568 0.068 0.739
0.781 0.595 0.002
0.109 0.007 0.324
0.686 0.638 0.477
0.807 0.307 0.508
0.307 0.193 0.492
0.005 0.854 0.188
0.068 0.432 0.261
0.014 0.722 0.523
0.693 0.807 0.492
0.719 0.095 0.998
0.505 0.646 0.812
0.066 0.434 0.753
0.278 0.014 0.477
0.495 0.354 0.812
0.932 0.568 0.261
0.609 0.493 0.676
0.646 0.495 0.188
0.778 0.486 0.523
0.146 0.005 0.812
0.186 0.862 0.523
0.507 0.609 0.324
0.566 0.066 0.247
0.891 0.993 0.324
0.993 0.109 0.676
0.222 0.514 0.523
0.814 0.138 0.523
0.722 0.986 0.477
0.493 0.391 0.324
0.905 0.719 0.002
0.095 0.281 0.002
0.193 0.693 0.508
0.514 0.778 0.477
0.320 0.470 0.464
0.611 0.111 0.996
0.111 0.389 0.004
0.389 0.889 0.996
0.889 0.611 0.004
0.030 0.180 0.464
0.530 0.320 0.536
0.680 0.530 0.464
0.470 0.680 0.536
0.820 0.030 0.536
0.970 0.820 0.464
0.180 0.970 0.536
0.683 0.291 0.009
0.754 0.816 0.484
0.209 0.817 0.009
0.746 0.316 0.516
0.317 0.709 0.009
0.791 0.183 0.009
0.605 0.716 0.982
0.291 0.317 0.991
0.895 0.216 0.018
0.284 0.605 0.018
0.684 0.746 0.484
0.246 0.184 0.484
0.395 0.284 0.982
0.105 0.784 0.018
0.816 0.246 0.516
0.716 0.395 0.018
0.216 0.105 0.982
0.817 0.791 0.991
0.316 0.254 0.484
0.709 0.683 0.991
0.784 0.895 0.982
0.184 0.754 0.516
0.254 0.684 0.516
0.183 0.209 0.991
0.167 0.769 0.009
0.231 0.167 0.991
0.667 0.731 0.991
0.333 0.269 0.991
0.269 0.667 0.009
0.769 0.833 0.991
0.731 0.333 0.009
0.833 0.231 0.009
0.084 0.584 0.512
0.916 0.416 0.512
0.000 0.000 0.000
0.584 0.916 0.488
0.416 0.084 0.488
0.500 0.500 0.000
0.311 0.189 0.990
0.811 0.311 0.010
0.689 0.811 0.990
0.189 0.689 0.010
0.887 0.387 0.012
0.113 0.613 0.012
0.387 0.113 0.988
0.613 0.887 0.988
```

=====

2.
A plane-wave DFT calculation with GGA-PBE was carried out for an optimized crystal structure of H26PdC16N2O2.

Summary:
Space-group type: P-1, No. 2

Geometry as POSCAR:
```
H26PdC16N2O2
1.0
-4.357 1.674 -0.883
-4.038 0.550 12.009
2.097 12.894 6.618
H C N O Pd
52 32 4 4 2
direct
0.095 0.628 0.558
0.525 0.412 0.938
0.478 0.399 0.239
0.757 0.677 0.457
0.923 0.777 0.620
0.172 0.892 0.229
0.447 0.967 0.239
0.241 0.222 0.689
0.678 0.616 0.947
0.906 0.952 0.652
0.830 0.970 0.334
0.637 0.809 0.191
0.081 0.051 0.544
0.874 0.051 0.136
0.522 0.601 0.761
0.759 0.778 0.311
0.475 0.588 0.062
0.903 0.780 0.919
0.412 0.862 0.427
0.715 0.192 0.307
0.094 0.048 0.348
0.919 0.949 0.456
0.373 0.262 0.419
0.905 0.372 0.442
0.828 0.108 0.771
0.627 0.738 0.581
0.192 0.355 0.201
0.336 0.753 0.824
0.851 0.219 0.582
0.785 0.005 0.044
0.470 0.908 0.916
0.077 0.223 0.380
0.170 0.030 0.666
0.242 0.515 0.943
0.866 0.432 0.310
0.564 0.852 0.736
0.758 0.485 0.057
0.322 0.384 0.053
0.285 0.808 0.693
0.664 0.247 0.176
0.363 0.191 0.809
0.243 0.323 0.543
0.530 0.092 0.084
0.215 0.995 0.956
0.808 0.645 0.799
0.588 0.138 0.573
0.149 0.781 0.418
0.097 0.220 0.081
0.126 0.949 0.864
0.553 0.033 0.761
0.134 0.568 0.690
0.436 0.148 0.264
0.025 0.254 0.005
0.690 0.579 0.029
0.349 0.884 0.276
0.975 0.746 0.995
0.115 0.362 0.937
0.334 0.491 0.428
0.758 0.077 0.067
0.357 0.324 0.257
0.992 0.037 0.620
0.486 0.595 0.403
0.514 0.405 0.597
0.236 0.866 0.381
0.211 0.294 0.361
0.310 0.421 0.971
0.242 0.923 0.933
0.651 0.116 0.724
0.764 0.134 0.619
0.666 0.509 0.572
0.024 0.399 0.369
0.432 0.214 0.730
0.568 0.786 0.270
0.150 0.813 0.016
0.850 0.187 0.984
0.643 0.676 0.743
0.976 0.601 0.631
0.885 0.638 0.063
0.447 0.777 0.750
0.553 0.223 0.250
0.008 0.963 0.380
0.353 0.399 0.525
0.647 0.601 0.475
0.789 0.706 0.639
0.185 0.494 0.354
0.550 0.325 0.691
0.450 0.675 0.309
0.815 0.506 0.646
0.746 0.212 0.898
0.953 0.581 0.155
0.047 0.419 0.845
0.254 0.788 0.102
0.204 0.637 0.226
0.796 0.363 0.774
```

=====

3.
A plane-wave DFT calculation with GGA-PBE was carried out for an optimized crystal structure of H18PdC26S2N2O2.

Summary:
Space-group type: C2/c, No. 15

Geometry as POSCAR:
```
H18PdC26S2N2O2
1.0
10.970 -5.219 0.000
10.970 5.219 0.000
-4.019 0.000 9.309
Pd H N O S C
2 36 4 4 4 52
direct
0.545 0.455 0.750
0.455 0.545 0.250
0.636 0.005 0.589
0.752 0.694 0.662
0.874 0.902 0.406
0.364 0.995 0.411
0.289 0.230 0.579
0.295 0.497 0.392
0.900 0.179 0.193
0.902 0.874 0.906
0.220 0.545 0.999
0.497 0.295 0.892
0.248 0.306 0.338
0.995 0.364 0.911
0.821 0.100 0.307
0.770 0.711 0.921
0.353 0.949 0.048
0.034 0.397 0.427
0.230 0.289 0.079
0.098 0.126 0.094
0.503 0.705 0.108
0.711 0.770 0.421
0.966 0.603 0.573
0.455 0.780 0.501
0.780 0.455 0.001
0.051 0.647 0.452
0.100 0.821 0.807
0.306 0.248 0.838
0.005 0.636 0.089
0.603 0.966 0.073
0.705 0.503 0.608
0.179 0.900 0.693
0.397 0.034 0.927
0.545 0.220 0.499
0.694 0.752 0.162
0.949 0.353 0.548
0.126 0.098 0.594
0.647 0.051 0.952
0.347 0.744 0.191
0.653 0.256 0.809
0.744 0.347 0.691
0.256 0.653 0.309
0.750 0.554 0.403
0.446 0.250 0.097
0.250 0.446 0.597
0.554 0.750 0.903
0.564 0.346 0.344
0.654 0.436 0.156
0.346 0.564 0.844
0.436 0.654 0.656
0.631 0.996 0.476
0.162 0.790 0.282
0.106 0.570 0.780
0.327 0.136 0.618
0.389 0.026 0.814
0.077 0.693 0.404
0.981 0.832 0.378
0.026 0.929 0.781
0.923 0.307 0.596
0.168 0.019 0.122
0.369 0.004 0.524
0.864 0.673 0.882
0.974 0.071 0.219
0.673 0.864 0.382
0.580 0.116 0.426
0.693 0.077 0.904
0.485 0.767 0.778
0.929 0.026 0.281
0.115 0.978 0.185
0.233 0.515 0.722
0.430 0.894 0.720
0.606 0.215 0.869
0.974 0.611 0.686
0.026 0.389 0.314
0.996 0.631 0.976
0.394 0.785 0.131
0.215 0.606 0.369
0.146 0.337 0.263
0.570 0.106 0.280
0.071 0.974 0.719
0.004 0.369 0.024
0.210 0.838 0.218
0.894 0.430 0.220
0.978 0.115 0.685
0.832 0.981 0.878
0.307 0.923 0.096
0.337 0.146 0.763
0.136 0.327 0.118
0.420 0.884 0.574
0.785 0.394 0.631
0.611 0.974 0.186
0.885 0.022 0.815
0.515 0.233 0.222
0.116 0.580 0.926
0.663 0.854 0.237
0.790 0.162 0.782
0.022 0.885 0.315
0.019 0.168 0.622
0.854 0.663 0.737
0.767 0.485 0.278
0.884 0.420 0.074
0.838 0.210 0.718
```

=====

4.
A plane-wave DFT calculation with GGA-PBE was carried out for an optimized crystal structure of Zn2H24PdC48N6O8.

Summary:
Space-group type: P4/mmm, No. 123

Geometry as POSCAR:
```
Zn2H24PdC48N6O8
1.0
-0.534 2.837 -16.415
-4.906 -15.722 -2.558
-7.257 2.165 0.611
C H N O Pd Zn
48 24 6 8 1 2
direct
0.041 0.746 0.500
0.854 0.146 0.500
0.171 0.934 0.500
0.254 0.959 0.500
0.146 0.854 0.500
0.959 0.746 0.500
0.703 0.703 0.340
0.934 0.171 0.500
0.297 0.297 0.660
0.209 0.209 0.500
0.703 0.703 0.660
0.791 0.209 0.500
0.762 0.238 0.340
0.746 0.041 0.500
0.762 0.238 0.660
0.209 0.791 0.500
0.254 0.041 0.500
0.673 0.327 0.500
0.171 0.066 0.500
0.762 0.762 0.340
0.066 0.171 0.500
0.327 0.673 0.500
0.238 0.238 0.660
0.829 0.066 0.500
0.611 0.389 0.500
0.238 0.762 0.340
0.611 0.611 0.500
0.959 0.254 0.500
0.327 0.327 0.500
0.238 0.238 0.340
0.703 0.297 0.660
0.934 0.829 0.500
0.703 0.297 0.340
0.041 0.254 0.500
0.297 0.703 0.340
0.829 0.934 0.500
0.238 0.762 0.660
0.297 0.703 0.660
0.854 0.854 0.500
0.389 0.389 0.500
0.673 0.673 0.500
0.066 0.829 0.500
0.146 0.146 0.500
0.762 0.762 0.660
0.297 0.297 0.340
0.791 0.791 0.500
0.389 0.611 0.500
0.746 0.959 0.500
0.695 0.919 0.500
0.214 0.214 0.783
0.214 0.786 0.783
0.919 0.305 0.500
0.321 0.321 0.218
0.786 0.214 0.783
0.305 0.081 0.500
0.695 0.081 0.500
0.786 0.214 0.217
0.786 0.786 0.217
0.321 0.679 0.782
0.321 0.679 0.218
0.679 0.321 0.218
0.679 0.321 0.782
0.081 0.695 0.500
0.679 0.679 0.782
0.081 0.305 0.500
0.786 0.786 0.783
0.919 0.695 0.500
0.321 0.321 0.782
0.679 0.679 0.218
0.305 0.919 0.500
0.214 0.786 0.217
0.214 0.214 0.217
0.878 0.000 0.500
0.000 0.878 0.500
0.000 0.122 0.500
0.122 0.000 0.500
0.500 0.500 0.073
0.500 0.500 0.927
0.414 0.414 0.351
0.414 0.586 0.351
0.586 0.414 0.649
0.586 0.414 0.351
0.586 0.586 0.351
0.414 0.586 0.649
0.586 0.586 0.649
0.414 0.414 0.649
0.000 0.000 0.500
0.500 0.500 0.660
0.500 0.500 0.340
```

=====

no.,E (eV per atom)
1,-6.85
2,-5.86
3,-6.74
4,-7.12